1.
# La7Pm2Tm4 (PBE, optimized geometry)
data_La7Pm2Tm4
_cell_length_a 6.7805
_cell_length_b 5.9751
_cell_length_c 12.6287
_cell_angle_alpha 89.64
_cell_angle_beta 94.78
_cell_angle_gamma 116.34
_symmetry_space_group_name_H-M 'P 1'
_symmetry_Int_Tables_number 1
loop_
_symmetry_equiv_pos_as_xyz
'x,y,z'
loop_
_atom_site_label
_atom_site_type_symbol
_atom_site_fract_x
_atom_site_fract_y
_atom_site_fract_z
La1 La 0.9813 0.4777 0.7643
Tm1 Tm 0.2819 0.7058 0.5278
La2 La 0.6410 0.7826 0.3022
La3 La 0.5758 0.8258 0.7941
La4 La 0.3590 0.2174 0.6978
La5 La 0.0187 0.5223 0.2357
Tm2 Tm 0.1675 0.1540 0.4163
Tm3 Tm 0.8325 0.8460 0.5837
Pm1 Pm 0.3622 0.6796 0.0328
La6 La 0.4242 0.1742 0.2059
La7 La 0.0000 0.0000 0.0000
Tm4 Tm 0.7181 0.2942 0.4722
Pm2 Pm 0.6378 0.3204 0.9672
# * energy of formation: 108 meV per atom
# * SG: No. 2

---

2.
# Ac3In6Pd5 (PBE, optimized geometry)
data_Ac3In6Pd5
_cell_length_a 4.5575
_cell_length_b 10.4441
_cell_length_c 14.0928
_cell_angle_alpha 90.00
_cell_angle_beta 90.00
_cell_angle_gamma 90.00
_symmetry_space_group_name_H-M 'P 1'
_symmetry_Int_Tables_number 1
loop_
_symmetry_equiv_pos_as_xyz
'x,y,z'
loop_
_atom_site_label
_atom_site_type_symbol
_atom_site_fract_x
_atom_site_fract_y
_atom_site_fract_z
In1 In 0.5000 0.9714 0.0000
Ac1 Ac 0.5000 0.7217 0.5000
Pd1 Pd 0.0000 0.5499 0.8884
In2 In 0.0000 0.9910 0.1501
Pd2 Pd 0.0000 0.8496 0.3448
Pd3 Pd 0.5000 0.4501 0.3884
Pd4 Pd 0.5000 0.1504 0.1552
In3 In 0.0000 0.4162 0.5000
Pd5 Pd 0.0000 0.8496 0.6552
Pd6 Pd 0.0000 0.5499 0.1116
Ac2 Ac 0.5000 0.7571 0.8059
In4 In 0.0000 0.5806 0.3168
In5 In 0.5000 0.4194 0.8168
Ac3 Ac 0.0000 0.2429 0.3059
In6 In 0.5000 0.0090 0.6501
In7 In 0.5000 0.0090 0.3499
Ac4 Ac 0.0000 0.2429 0.6941
In8 In 0.0000 0.0286 0.5000
In9 In 0.5000 0.4194 0.1832
Pd7 Pd 0.5000 0.1504 0.8448
In10 In 0.5000 0.5838 0.0000
Pd8 Pd 0.5000 0.4501 0.6116
Ac5 Ac 0.0000 0.2783 0.0000
In11 In 0.0000 0.5806 0.6832
Pd9 Pd 0.0000 0.7916 0.0000
Pd10 Pd 0.5000 0.2084 0.5000
In12 In 0.0000 0.9910 0.8499
Ac6 Ac 0.5000 0.7571 0.1941
# * energy of formation: -661 meV per atom
# * SG: No. 59

---

3.
# PaZnFeRe (PBE, optimized geometry)
data_PaZnFeRe
_cell_length_a 4.5466
_cell_length_b 4.5466
_cell_length_c 4.5466
_cell_angle_alpha 60.00
_cell_angle_beta 60.00
_cell_angle_gamma 60.00
_symmetry_space_group_name_H-M 'P 1'
_symmetry_Int_Tables_number 1
loop_
_symmetry_equiv_pos_as_xyz
'x,y,z'
loop_
_atom_site_label
_atom_site_type_symbol
_atom_site_fract_x
_atom_site_fract_y
_atom_site_fract_z
Zn1 Zn 0.7500 0.7500 0.7500
Fe1 Fe 0.0000 0.0000 0.0000
Pa1 Pa 0.2500 0.2500 0.2500
Re1 Re 0.5000 0.5000 0.5000
# * energy of formation: 152 meV per atom
# * SG: No. 216

---

4.
# Rb2BeNiI6 (PBE, optimized geometry)
data_Rb2BeNiI6
_cell_length_a 7.7895
_cell_length_b 7.7895
_cell_length_c 8.1780
_cell_angle_alpha 61.56
_cell_angle_beta 61.56
_cell_angle_gamma 90.00
_symmetry_space_group_name_H-M 'P 1'
_symmetry_Int_Tables_number 1
loop_
_symmetry_equiv_pos_as_xyz
'x,y,z'
loop_
_atom_site_label
_atom_site_type_symbol
_atom_site_fract_x
_atom_site_fract_y
_atom_site_fract_z
I1 I 0.2662 0.7338 0.0000
I2 I 0.7338 0.7338 0.0000
Rb1 Rb 0.2500 0.7500 0.5000
I3 I 0.7860 0.7860 0.4279
I4 I 0.2662 0.2662 0.0000
I5 I 0.7338 0.2662 0.0000
Ni1 Ni 0.0000 0.0000 0.0000
Be1 Be 0.5000 0.5000 0.0000
Rb2 Rb 0.7500 0.2500 0.5000
I6 I 0.2140 0.2140 0.5721
# * SG: No. 139
# * formation energy from raw total energies: -0.583 eV per atom

---

5.
# EuLuAgSn (PBE, optimized geometry)
data_EuLuAgSn
_cell_length_a 5.2970
_cell_length_b 5.2970
_cell_length_c 5.2970
_cell_angle_alpha 60.00
_cell_angle_beta 60.00
_cell_angle_gamma 60.00
_symmetry_space_group_name_H-M 'P 1'
_symmetry_Int_Tables_number 1
loop_
_symmetry_equiv_pos_as_xyz
'x,y,z'
loop_
_atom_site_label
_atom_site_type_symbol
_atom_site_fract_x
_atom_site_fract_y
_atom_site_fract_z
Sn1 Sn 0.2500 0.2500 0.2500
Eu1 Eu 0.0000 0.0000 0.0000
Lu1 Lu 0.5000 0.5000 0.5000
Ag1 Ag 0.7500 0.7500 0.7500
# * energy of formation: -493 meV per atom
# * SG: No. 216

---

6.
# Sm3Mg3Sc2 (PBE, optimized geometry)
data_Sm3Mg3Sc2
_cell_length_a 3.6749
_cell_length_b 5.4379
_cell_length_c 11.4479
_cell_angle_alpha 103.74
_cell_angle_beta 99.24
_cell_angle_gamma 90.00
_symmetry_space_group_name_H-M 'P 1'
_symmetry_Int_Tables_number 1
loop_
_symmetry_equiv_pos_as_xyz
'x,y,z'
loop_
_atom_site_label
_atom_site_type_symbol
_atom_site_fract_x
_atom_site_fract_y
_atom_site_fract_z
Sc1 Sc 0.7380 0.2380 0.4760
Sc2 Sc 0.2620 0.7620 0.5240
Mg1 Mg 0.1248 0.1248 0.2496
Sm1 Sm 0.6294 0.6294 0.2589
Sm2 Sm 0.5000 0.0000 0.0000
Mg2 Mg 0.8752 0.8752 0.7504
Mg3 Mg 0.0000 0.5000 0.0000
Sm3 Sm 0.3706 0.3706 0.7411
# * energy of formation: -39 meV per atom
# * SG: No. 71

---

7.
# Cu2SiS3 (PBE, optimized geometry)
data_Cu2SiS3
_cell_length_a 6.3572
_cell_length_b 6.3572
_cell_length_c 6.0885
_cell_angle_alpha 90.00
_cell_angle_beta 90.00
_cell_angle_gamma 119.57
_symmetry_space_group_name_H-M 'P 1'
_symmetry_Int_Tables_number 1
loop_
_symmetry_equiv_pos_as_xyz
'x,y,z'
loop_
_atom_site_label
_atom_site_type_symbol
_atom_site_fract_x
_atom_site_fract_y
_atom_site_fract_z
S1 S 0.9848 0.6610 0.1055
S2 S 0.3390 0.0152 0.6055
Cu1 Cu 0.0024 0.3242 0.9800
Cu2 Cu 0.3242 0.0024 0.9800
S3 S 0.6610 0.9848 0.1055
S4 S 0.6552 0.6552 0.6389
S5 S 0.0152 0.3390 0.6055
Si1 Si 0.3311 0.3311 0.5110
Cu3 Cu 0.9976 0.6758 0.4800
Cu4 Cu 0.6758 0.9976 0.4800
S6 S 0.3448 0.3448 0.1389
Si2 Si 0.6689 0.6689 0.0110
# * SG: No. 36
# * formation energy from raw total energies: -0.443 eV per atom

---

8.
# Li4Nd5Cd4 (PBE, optimized geometry)
data_Li4Nd5Cd4
_cell_length_a 4.9917
_cell_length_b 8.6732
_cell_length_c 8.6732
_cell_angle_alpha 85.25
_cell_angle_beta 73.28
_cell_angle_gamma 73.28
_symmetry_space_group_name_H-M 'P 1'
_symmetry_Int_Tables_number 1
loop_
_symmetry_equiv_pos_as_xyz
'x,y,z'
loop_
_atom_site_label
_atom_site_type_symbol
_atom_site_fract_x
_atom_site_fract_y
_atom_site_fract_z
Li1 Li 0.1047 0.4546 0.3359
Li2 Li 0.8953 0.5454 0.6641
Cd1 Cd 0.2664 0.6854 0.7818
Nd1 Nd 0.3650 0.3298 0.9402
Li3 Li 0.4407 0.6641 0.4546
Li4 Li 0.5593 0.3359 0.5454
Cd2 Cd 0.7336 0.3146 0.2182
Nd2 Nd 0.0000 0.0000 0.0000
Nd3 Nd 0.3052 0.0598 0.3298
Cd3 Cd 0.0482 0.2182 0.6854
Nd4 Nd 0.6350 0.6702 0.0598
Cd4 Cd 0.9518 0.7818 0.3146
Nd5 Nd 0.6948 0.9402 0.6702
# * energy of formation: -153 meV per atom
# * SG: No. 87

---

9.
# Al2AgIr (PBE, optimized geometry)
data_Al2AgIr
_cell_length_a 4.9030
_cell_length_b 4.9030
_cell_length_c 4.4691
_cell_angle_alpha 75.23
_cell_angle_beta 75.23
_cell_angle_gamma 35.74
_symmetry_space_group_name_H-M 'P 1'
_symmetry_Int_Tables_number 1
loop_
_symmetry_equiv_pos_as_xyz
'x,y,z'
loop_
_atom_site_label
_atom_site_type_symbol
_atom_site_fract_x
_atom_site_fract_y
_atom_site_fract_z
Al1 Al 0.2434 0.2434 0.3134
Ag1 Ag 0.7471 0.7471 0.8024
Ir1 Ir 0.5110 0.5110 0.4318
Al2 Al 0.9984 0.9984 0.9524
# * energy of formation: -425 meV per atom
# * SG: No. 8

---

10.
# RbPuPO5 (PBE, optimized geometry)
data_RbPuPO5
_cell_length_a 6.1409
_cell_length_b 6.1409
_cell_length_c 7.9099
_cell_angle_alpha 104.72
_cell_angle_beta 104.72
_cell_angle_gamma 106.23
_symmetry_space_group_name_H-M 'P 1'
_symmetry_Int_Tables_number 1
loop_
_symmetry_equiv_pos_as_xyz
'x,y,z'
loop_
_atom_site_label
_atom_site_type_symbol
_atom_site_fract_x
_atom_site_fract_y
_atom_site_fract_z
O1 O 0.2302 0.4212 0.6204
O2 O 0.8561 0.2930 0.1303
Pu1 Pu 0.0000 0.0000 0.0000
O3 O 0.2930 0.8561 0.6303
O4 O 0.7698 0.5788 0.3796
O5 O 0.0616 0.9384 0.2500
Pu2 Pu 0.0000 0.0000 0.5000
P1 P 0.3109 0.6891 0.7500
P2 P 0.6891 0.3109 0.2500
O6 O 0.4212 0.2302 0.1204
O7 O 0.1439 0.7070 0.8697
Rb1 Rb 0.6618 0.3382 0.7500
Rb2 Rb 0.3382 0.6618 0.2500
O8 O 0.9384 0.0616 0.7500
O9 O 0.7070 0.1439 0.3697
O10 O 0.5788 0.7698 0.8796
# * SG: No. 15
# * formation energy from raw total energies: -2.550 eV per atom

---

11.
# Ac2Hg2AuO2 (PBE, optimized geometry)
data_Ac2Hg2AuO2
_cell_length_a 5.4598
_cell_length_b 5.4598
_cell_length_c 8.0695
_cell_angle_alpha 90.00
_cell_angle_beta 90.00
_cell_angle_gamma 120.00
_symmetry_space_group_name_H-M 'P 1'
_symmetry_Int_Tables_number 1
loop_
_symmetry_equiv_pos_as_xyz
'x,y,z'
loop_
_atom_site_label
_atom_site_type_symbol
_atom_site_fract_x
_atom_site_fract_y
_atom_site_fract_z
Ac1 Ac 0.3333 0.6667 0.6630
Au1 Au 0.0000 0.0000 0.0000
O1 O 0.6667 0.3333 0.6074
Hg1 Hg 0.0000 0.0000 0.3283
Hg2 Hg 0.0000 0.0000 0.6717
O2 O 0.3333 0.6667 0.3926
Ac2 Ac 0.6667 0.3333 0.3370
# * SG: No. 164
# * formation energy from raw total energies: -1.056 eV per atom

---

12.
# SrAl2Au3 (PBE, optimized geometry)
data_SrAl2Au3
_cell_length_a 5.5830
_cell_length_b 6.9374
_cell_length_c 13.3055
_cell_angle_alpha 90.00
_cell_angle_beta 90.00
_cell_angle_gamma 90.00
_symmetry_space_group_name_H-M 'P 1'
_symmetry_Int_Tables_number 1
loop_
_symmetry_equiv_pos_as_xyz
'x,y,z'
loop_
_atom_site_label
_atom_site_type_symbol
_atom_site_fract_x
_atom_site_fract_y
_atom_site_fract_z
Al1 Al 0.4993 0.3607 0.3481
Au1 Au 0.7500 0.6536 0.2830
Al2 Al 0.9993 0.8607 0.1519
Au2 Au 0.7500 0.0588 0.3102
Sr1 Sr 0.7500 0.3463 0.0887
Sr2 Sr 0.7500 0.1537 0.5887
Al3 Al 0.0007 0.3607 0.3481
Al4 Al 0.9993 0.6393 0.6519
Au3 Au 0.2500 0.5588 0.1898
Au4 Au 0.7500 0.4412 0.8102
Sr3 Sr 0.2500 0.6537 0.9113
Au5 Au 0.2500 0.9412 0.6898
Au6 Au 0.7500 0.5964 0.4932
Au7 Au 0.7500 0.8464 0.7830
Au8 Au 0.2500 0.4036 0.5068
Au9 Au 0.7500 0.9036 0.9932
Au10 Au 0.2500 0.0964 0.0068
Sr4 Sr 0.2500 0.8463 0.4113
Al5 Al 0.5007 0.8607 0.1519
Au11 Au 0.2500 0.1536 0.2170
Al6 Al 0.0007 0.1393 0.8481
Al7 Al 0.4993 0.1393 0.8481
Al8 Al 0.5007 0.6393 0.6519
Au12 Au 0.2500 0.3464 0.7170
# * energy of formation: -645 meV per atom
# * SG: No. 62